(1)
Density functional theory data (meta-GGA SCAN) for Mo2IrPt at its PBEsol-relaxed geometry.

Calculated values
- V (A^3/atom) = 14.66
- energy (eV for the cell shown) = -212.6
- magnetic moment (μB/cell) = 0.0
- theoretical density (Mg/m³) = 16.403
- energy relative to the elements (eV/f.u.) = -1.5
- symmetry = No. 65

a b c (Å): 2.7123 4.8221 4.8221
angles (deg): 111.62 90.00 90.00
With the nearest neighbours (Å) after each atom.
Element x y z (fractional)
Ir  0.5000  0.5000  0.5000  2 Pt 2.71, 2 Ir 2.71, 8 Mo 2.77
Mo  0.0000  0.0000  0.5000  4 Mo 2.71, 4 Ir 2.77, 4 Pt 2.77
Mo  0.0000  0.5000  0.0000  4 Mo 2.71, 4 Pt 2.77, 4 Ir 2.77
Pt  0.5000  0.0000  0.0000  2 Ir 2.71, 2 Pt 2.71, 8 Mo 2.77


(2)
Density functional theory data (meta-GGA SCAN) for Mo2IrPt at its PBEsol-relaxed geometry.

Calculated values
- V (A^3/atom) = 14.68
- energy (eV for the cell shown) = -212.7
- magnetic moment (μB/cell) = 0.0
- theoretical density (Mg/m³) = 16.374
- energy relative to the elements (eV/f.u.) = -1.6
- symmetry = No. 123

a b c (Å): 2.7146 2.7146 7.9706
angles (deg): 90.00 90.00 90.00
With the nearest neighbours (Å) after each atom.
Element x y z (fractional)
Pt  0.5000  0.5000  0.0000  4 Pt 2.71, 8 Mo 2.80
Mo  0.0000  0.0000  0.7439  4 Mo 2.71, 4 Ir 2.73, 4 Pt 2.80
Mo  0.0000  0.0000  0.2561  4 Mo 2.71, 4 Ir 2.73, 4 Pt 2.80
Ir  0.5000  0.5000  0.5000  4 Ir 2.71, 8 Mo 2.73


(3)
Density functional theory data (meta-GGA SCAN) for MoIr2Pt at its PBEsol-relaxed geometry.

Calculated values
- V (A^3/atom) = 14.80
- energy (eV for the cell shown) = -247.0
- magnetic moment (μB/cell) = 0.0
- theoretical density (Mg/m³) = 18.948
- energy relative to the elements (eV/f.u.) = 0.3
- symmetry = No. 10

a b c (Å): 2.6924 4.6131 4.7664
angles (deg): 90.00 90.89 90.00
With the nearest neighbours (Å) after each atom.
Element x y z (fractional)
Pt  0.0000  0.5000  0.5000  4 Ir 2.67, 2 Pt 2.69, 4 Mo 2.72-2.76
Mo  0.5000  0.5000  0.0000  2 Mo 2.69, 4 Ir 2.71, 4 Pt 2.72-2.76
Ir  0.2302  0.0000  0.2533  2 Pt 2.67, 6 Ir 2.68-2.84, 2 Mo 2.71
Ir  0.7698  0.0000  0.7467  2 Pt 2.67, 6 Ir 2.68-2.84, 2 Mo 2.71


(4)
Density functional theory data (meta-GGA SCAN) for Mo2IrPt at its PBEsol-relaxed geometry.

Calculated values
- V (A^3/atom) = 14.69
- energy (eV for the cell shown) = -212.7
- magnetic moment (μB/cell) = 0.0
- theoretical density (Mg/m³) = 16.372
- energy relative to the elements (eV/f.u.) = -1.6
- symmetry = No. 47

a b c (Å): 2.7157 3.9769 5.4393
angles (deg): 90.00 90.00 90.00
With the nearest neighbours (Å) after each atom.
Element x y z (fractional)
Pt  0.5000  0.5000  0.0000  2 Pt 2.72, 2 Ir 2.72, 8 Mo 2.79
Ir  0.5000  0.5000  0.5000  2 Ir 2.72, 2 Pt 2.72, 8 Mo 2.74
Mo  0.0000  0.0000  0.7410  4 Mo 2.62-2.82, 4 Ir 2.74, 4 Pt 2.79
Mo  0.0000  0.0000  0.2590  4 Mo 2.62-2.82, 4 Ir 2.74, 4 Pt 2.79


(5)
Density functional theory data (meta-GGA SCAN) for Mo2IrPt at its PBEsol-relaxed geometry.

Calculated values
- V (A^3/atom) = 14.66
- energy (eV for the cell shown) = -212.6
- magnetic moment (μB/cell) = 0.0
- theoretical density (Mg/m³) = 16.404
- energy relative to the elements (eV/f.u.) = -1.6
- symmetry = No. 139

a b c (Å): 3.8413 3.8413 4.8131
angles (deg): 113.52 113.52 90.00
With the nearest neighbours (Å) after each atom.
Element x y z (fractional)
Pt  0.5000  0.5000  0.0000  4 Ir 2.72, 8 Mo 2.76
Ir  0.0000  0.0000  0.0000  4 Pt 2.72, 8 Mo 2.76
Mo  0.2500  0.7500  0.5000  4 Mo 2.72, 4 Ir 2.76, 4 Pt 2.76
Mo  0.7500  0.2500  0.5000  4 Mo 2.72, 4 Ir 2.76, 4 Pt 2.76


(6)
Density functional theory data (meta-GGA SCAN) for RbZrMoIr2 at its PBEsol-relaxed geometry.

Calculated values
- V (A^3/atom) = 24.31
- energy (eV for the cell shown) = -219.2
- magnetic moment (μB/cell) = 4.1
- theoretical density (Mg/m³) = 8.976
- energy relative to the elements (eV/f.u.) = 9.3
- symmetry = No. 123

a b c (Å): 4.8260 4.8260 5.2190
angles (deg): 90.00 90.00 90.00
With the nearest neighbours (Å) after each atom.
Element x y z (fractional)
Rb  0.0000  0.0000  0.5000  2 Zr 2.61
Ir  0.5000  0.0000  0.0000  2 Zr 2.41
Ir  0.0000  0.5000  0.0000  2 Zr 2.41
Mo  0.5000  0.5000  0.5000  4 Rb 3.41, 8 Ir 3.55
Zr  0.0000  0.0000  0.0000  4 Ir 2.41, 2 Rb 2.61


(7)
Density functional theory data (meta-GGA SCAN) for Re2MoIr at its PBEsol-relaxed geometry.

Calculated values
- V (A^3/atom) = 14.55
- energy (eV for the cell shown) = -248.9
- magnetic moment (μB/cell) = 0.0
- theoretical density (Mg/m³) = 18.847
- energy relative to the elements (eV/f.u.) = -0.7
- symmetry = No. 25

a b c (Å): 2.7413 4.4279 4.7946
angles (deg): 90.00 90.00 90.00
With the nearest neighbours (Å) after each atom.
Element x y z (fractional)
Re  0.1250  0.0000  0.0413  6 Re 2.72-2.74, 2 Mo 2.73, 4 Ir 2.74-2.78
Re  0.6250  0.5000  0.2059  6 Re 2.72-2.74, 2 Ir 2.75, 4 Mo 2.76-2.77
Ir  0.6250  0.0000  0.5453  4 Mo 2.72, 2 Ir 2.74, 6 Re 2.74-2.78
Mo  0.1250  0.5000  0.7074  4 Ir 2.72, 6 Re 2.73-2.77, 2 Mo 2.74


(8)
Density functional theory data (meta-GGA SCAN) for Re2MoIr at its PBEsol-relaxed geometry.

Calculated values
- V (A^3/atom) = 14.56
- energy (eV for the cell shown) = -248.7
- magnetic moment (μB/cell) = 0.0
- theoretical density (Mg/m³) = 18.830
- energy relative to the elements (eV/f.u.) = -0.5
- symmetry = No. 119

a b c (Å): 3.8720 3.8720 4.7533
angles (deg): 114.04 114.04 90.00
With the nearest neighbours (Å) after each atom.
Element x y z (fractional)
Ir  0.0000  0.0000  0.0000  8 Re 2.74, 4 Mo 2.74
Mo  0.2500  0.7500  0.5000  8 Re 2.74, 4 Ir 2.74
Re  0.5000  0.5000  0.0000  4 Ir 2.74, 4 Mo 2.74, 4 Re 2.74
Re  0.7500  0.2500  0.5000  4 Mo 2.74, 4 Re 2.74, 4 Ir 2.74


Number 3 is which compound? MoIr2Pt


Please write out number 3 again, unchanged.
Density functional theory data (meta-GGA SCAN) for MoIr2Pt at its PBEsol-relaxed geometry.

Calculated values
- V (A^3/atom) = 14.80
- energy (eV for the cell shown) = -247.0
- magnetic moment (μB/cell) = 0.0
- theoretical density (Mg/m³) = 18.948
- energy relative to the elements (eV/f.u.) = 0.3
- symmetry = No. 10

a b c (Å): 2.6924 4.6131 4.7664
angles (deg): 90.00 90.89 90.00
With the nearest neighbours (Å) after each atom.
Element x y z (fractional)
Pt  0.0000  0.5000  0.5000  4 Ir 2.67, 2 Pt 2.69, 4 Mo 2.72-2.76
Mo  0.5000  0.5000  0.0000  2 Mo 2.69, 4 Ir 2.71, 4 Pt 2.72-2.76
Ir  0.2302  0.0000  0.2533  2 Pt 2.67, 6 Ir 2.68-2.84, 2 Mo 2.71
Ir  0.7698  0.0000  0.7467  2 Pt 2.67, 6 Ir 2.68-2.84, 2 Mo 2.71